Record 1
This record from Alexandria describes a geometry-optimized TaBeH3 structure. The functional is PBE.

As for the spin magnetization: 0.000 μB/atom. As for the distance to the lowest polymorph of the same formula: 0.319 eV/atom. As for the crystal system: cubic. The density of states at the Fermi level is 0.64 states/eV/atom.

The space group is Pm-3m (No. 221) and the conventional cell measures 3.1958, 3.1958 and 3.1958 Å, with angles of 90.00, 90.00 and 90.00 degrees. The inequivalent atoms are Ta at (0.0000, 0.0000, 0.0000), Be at (0.5000, 0.5000, 0.5000) and H at (0.0000, 0.5000, 0.5000).



Record 2
This record from Alexandria describes a geometry-optimized TaBeH structure. The functional is PBE.

As for the spin magnetization: 0.000 μB/atom. As for the distance to the lowest polymorph of the same formula: 0.309 eV/atom. As for the crystal system: triclinic. The density of states at the Fermi level is 0.13 states/eV/atom.

The space group is P-1 (No. 2) and the conventional cell measures 2.8202, 4.4765 and 4.9291 Å, with angles of 72.55, 79.72 and 87.38 degrees. The inequivalent atoms are Ta at (0.1588, 0.3116, 0.3106), Be at (0.3681, 0.1522, 0.8031) and H at (0.2618, 0.7452, 0.9554).



Record 3
This record from Alexandria describes a geometry-optimized TaBeH2 structure. The functional is PBE.

As for the spin magnetization: 0.000 μB/atom. As for the distance to the lowest polymorph of the same formula: 0.062 eV/atom. As for the crystal system: monoclinic. The density of states at the Fermi level is 0.19 states/eV/atom.

The space group is Cm (No. 8) and the conventional cell measures 9.2715, 3.2570 and 5.2865 Å, with angles of 90.00, 124.31 and 90.00 degrees. The inequivalent atoms are Ta at (0.0000, 0.0000, 0.0000), Ta at (0.0576, 0.5000, 0.5361), Be at (0.2675, 0.0000, 0.9580), Be at (0.2758, 0.0000, 0.5665), H at (0.1281, 0.5000, 0.2581), H at (0.2778, 0.0000, 0.2657), H at (0.4323, 0.5000, 0.2877) and H at (0.4728, 0.0000, 0.7841).